(1)
Entry from Alexandria via LeMat-Bulk: a relaxed LaScO2F crystal (GGA-PBE).

Lattice parameters (Å, degrees): 4.157 4.157 4.071 90.00 90.00 90.00
Sites, in units of the cell vectors:
La: 0.000 0.000 0.000
Sc: 0.500 0.500 0.500
O: 0.000 0.500 0.500
O: 0.500 0.000 0.500
F: 0.500 0.500 0.000

**Formation energy (no corrections)**: -3108 meV/atom
**Total magnetization**: 0.0000 μB/atom
**Mass density**: 5.54 g/cm3



(2)
Entry from Alexandria via LeMat-Bulk: a relaxed HOs2 crystal (GGA-PBE).

Lattice parameters (Å, degrees): 2.811 2.811 4.503 90.00 90.00 120.00
Sites, in units of the cell vectors:
H: 0.000 0.000 0.000
Os: 0.333 0.667 0.736
Os: 0.667 0.333 0.264

**Total magnetization**: 0.0000 μB/atom
**Mass density**: 20.57 g/cm3
**Electronic total energy**: -0.6096 Ry per atom



(3)
Entry from Alexandria via LeMat-Bulk: a relaxed Cs2BaSn2S4 crystal (GGA-PBE).

Lattice parameters (Å, degrees): 9.565 9.565 8.922 116.24 116.24 25.69
Sites, in units of the cell vectors:
Cs: 0.122 0.122 0.047
Cs: 0.878 0.878 0.953
Ba: 0.000 0.000 0.500
Sn: 0.308 0.308 0.455
Sn: 0.692 0.692 0.545
S: 0.185 0.185 0.729
S: 0.448 0.448 0.699
S: 0.552 0.552 0.301
S: 0.815 0.815 0.271

**Formation energy (no corrections)**: -1084 meV/atom
**Total magnetization**: 0.0000 μB/atom
**Mass density**: 4.05 g/cm3



(4)
Entry from Alexandria via LeMat-Bulk: a relaxed Rb4NpS5 crystal (GGA-PBE).

Lattice parameters (Å, degrees): 7.968 7.968 7.968 99.75 99.75 131.39
Sites, in units of the cell vectors:
Rb: 0.102 0.703 0.805
Rb: 0.297 0.102 0.399
Rb: 0.703 0.898 0.601
Rb: 0.898 0.297 0.195
Np: 0.473 0.473 0.000
S: 0.091 0.091 0.000
S: 0.268 0.428 0.693
S: 0.428 0.735 0.160
S: 0.575 0.268 0.840
S: 0.735 0.575 0.307

**Formation energy (no corrections)**: -1133 meV/atom
**Total magnetization**: 0.0997 μB/atom
**Mass density**: 3.55 g/cm3



(5)
Entry from Alexandria via LeMat-Bulk: a relaxed Mg11Cd9Pt4 crystal (GGA-PBE).

Lattice parameters (Å, degrees): 12.508 12.508 3.346 90.00 90.00 113.28
Sites, in units of the cell vectors:
Mg: 0.000 0.000 0.000
Mg: 0.073 0.414 0.000
Mg: 0.160 0.840 0.000
Mg: 0.306 0.306 0.000
Mg: 0.371 0.629 0.000
Mg: 0.414 0.073 0.000
Mg: 0.586 0.927 0.000
Mg: 0.629 0.371 0.000
Mg: 0.694 0.694 0.000
Mg: 0.840 0.160 0.000
Mg: 0.927 0.586 0.000
Cd: 0.069 0.216 0.500
Cd: 0.151 0.631 0.500
Cd: 0.216 0.069 0.500
Cd: 0.369 0.849 0.500
Cd: 0.500 0.500 0.500
Cd: 0.631 0.151 0.500
Cd: 0.784 0.931 0.500
Cd: 0.849 0.369 0.500
Cd: 0.931 0.784 0.500
Pt: 0.252 0.450 0.500
Pt: 0.450 0.252 0.500
Pt: 0.550 0.748 0.500
Pt: 0.748 0.550 0.500

**Energy relative to the elements**: -0.37 eV/atom
**Total magnetization**: 0.0000 μB/atom
**Mass density**: 7.11 g/cm3



(6)
Entry from Alexandria via LeMat-Bulk: a relaxed MgAlTe2 crystal (GGA-PBE).

Lattice parameters (Å, degrees): 8.940 8.940 8.940 26.46 26.46 26.46
Sites, in units of the cell vectors:
Mg: 0.000 0.000 0.000
Al: 0.500 0.500 0.500
Te: 0.108 0.108 0.108
Te: 0.892 0.892 0.892

**Formation energy (no corrections)**: -168 meV/atom
**Total magnetization**: 0.0926 μB/atom
**Mass density**: 4.07 g/cm3



(7)
Entry from Alexandria via LeMat-Bulk: a relaxed Ti3HgOs crystal (GGA-PBE).

Lattice parameters (Å, degrees): 4.822 4.822 4.822 90.00 90.00 90.00
Sites, in units of the cell vectors:
Ti: 0.000 0.000 0.500
Ti: 0.000 0.500 0.000
Ti: 0.500 0.000 0.000
Hg: 0.000 0.000 0.000
Os: 0.500 0.500 0.500

**Energy relative to the elements**: 1.70 eV/atom
**Total magnetization**: 0.0052 μB/atom
**Mass density**: 7.91 g/cm3



(8)
Entry from Alexandria via LeMat-Bulk: a relaxed LaSmEuHo crystal (GGA-PBE).

Lattice parameters (Å, degrees): 5.858 5.858 5.858 60.00 60.00 60.00
Sites, in units of the cell vectors:
La: 0.000 0.000 0.000
Sm: 0.500 0.500 0.500
Eu: 0.250 0.250 0.250
Ho: 0.750 0.750 0.750

**Energy relative to the elements**: 0.13 eV/atom
**Total magnetization**: 1.9563 μB/atom
**Mass density**: 7.08 g/cm3



What is the total magnetization in the sixth record?
0.0926 μB/atom



Which value of total magnetization does entry 1 give?
0.0000 μB/atom